{
  "formula": "UTa2Hg2Te6",
  "functional": "PBE",
  "state": "optimized geometry",
  "vol_a3_per_atom": 33.5,
  "e_form_raw_ev_per_fu": -3.231,
  "magnetic_moment_mub_per_atom": 0.1846,
  "energy_ev_per_atom": -5.243,
  "sg": "C2/m",
  "lattice": [[6.693, -0.125, 0.016], [-3.417, 5.756, 0.016], [-1.202, -2.066, 9.667]],
  "species": ["Te", "Te", "Te", "Te", "Te", "Te", "Ta", "Ta", "Hg", "Hg", "U"],
  "frac_coords": [[0.712, 0.712, 0.686], [0.288, 0.288, 0.314], [0.585, 0.933, 0.306], [0.067, 0.415, 0.694], [0.933, 0.585, 0.306], [0.415, 0.067, 0.694], [0.323, 0.677, 0.500], [0.677, 0.323, 0.500], [0.844, 0.156, 0.000], [0.156, 0.844, 0.000], [0.000, 0.000, 0.500]]
}

=====

{
  "formula": "TaTi3Hg",
  "functional": "PBE",
  "state": "optimized geometry",
  "vol_a3_per_atom": 18.0,
  "e_above_lowest_polymorph_mev_per_atom": 0,
  "delta_e_f_ev_per_fu": 0.1,
  "magnetic_moment_mub_per_atom": 0.0001,
  "energy_ev_per_atom": -7.139,
  "sg": "P2_1/m",
  "lattice": [[4.784, 0.000, 0.000], [0.000, 6.993, -2.143], [0.000, 0.022, 5.364]],
  "species": ["Hg", "Hg", "Ta", "Ta", "Ti", "Ti", "Ti", "Ti", "Ti", "Ti"],
  "frac_coords": [[0.750, 0.319, 0.069], [0.250, 0.681, 0.931], [0.750, 0.122, 0.468], [0.250, 0.878, 0.532], [0.250, 0.083, 0.176], [0.250, 0.480, 0.351], [0.250, 0.264, 0.752], [0.750, 0.520, 0.649], [0.750, 0.736, 0.248], [0.750, 0.917, 0.824]]
}

=====

{
  "formula": "Ta12Ti5Hg3",
  "functional": "PBE",
  "state": "optimized geometry",
  "vol_a3_per_atom": 25.1,
  "delta_e_f_ev_per_fu": 31.2,
  "magnetic_moment_mub_per_atom": 0.4470,
  "energy_ev_per_atom": -7.573,
  "sg": "Ia-3d",
  "lattice": [[13.757, 0.000, 0.000], [-4.586, 12.970, 0.000], [-4.586, -6.485, 11.233]],
  "species": ["Ti", "Ti", "Ti", "Ti", "Ti", "Ti", "Ti", "Ti", "Ti", "Ti", "Ti", "Ti", "Ti", "Ti", "Ti", "Ti", "Ti", "Ti", "Ti", "Ti", "Ta", "Ta", "Ta", "Ta", "Ta", "Ta", "Ta", "Ta", "Ta", "Ta", "Ta", "Ta", "Ta", "Ta", "Ta", "Ta", "Ta", "Ta", "Ta", "Ta", "Ta", "Ta", "Ta", "Ta", "Ta", "Ta", "Ta", "Ta", "Ta", "Ta", "Ta", "Ta", "Ta", "Ta", "Ta", "Ta", "Ta", "Ta", "Ta", "Ta", "Ta", "Ta", "Ta", "Ta", "Ta", "Ta", "Ta", "Ta", "Hg", "Hg", "Hg", "Hg", "Hg", "Hg", "Hg", "Hg", "Hg", "Hg", "Hg", "Hg"],
  "frac_coords": [[0.625, 0.875, 0.250], [0.000, 0.500, 0.500], [0.125, 0.750, 0.375], [0.000, 0.500, 0.000], [0.250, 0.875, 0.125], [0.500, 0.500, 0.000], [0.250, 0.375, 0.625], [0.875, 0.250, 0.625], [0.500, 0.000, 0.500], [0.000, 0.000, 0.000], [0.750, 0.125, 0.875], [0.375, 0.125, 0.750], [0.750, 0.625, 0.375], [0.625, 0.750, 0.875], [0.125, 0.375, 0.250], [0.875, 0.625, 0.750], [0.500, 0.500, 0.500], [0.500, 0.000, 0.000], [0.375, 0.250, 0.125], [0.000, 0.000, 0.500], [0.648, 0.076, 0.222], [0.852, 0.574, 0.928], [0.646, 0.424, 0.572], [0.926, 0.072, 0.648], [0.072, 0.146, 0.424], [0.926, 0.854, 0.778], [0.222, 0.646, 0.074], [0.778, 0.354, 0.926], [0.722, 0.574, 0.146], [0.352, 0.428, 0.074], [0.574, 0.852, 0.428], [0.928, 0.854, 0.576], [0.428, 0.352, 0.574], [0.574, 0.722, 0.646], [0.278, 0.426, 0.854], [0.424, 0.778, 0.852], [0.852, 0.278, 0.424], [0.646, 0.222, 0.574], [0.222, 0.576, 0.648], [0.148, 0.426, 0.072], [0.778, 0.424, 0.352], [0.352, 0.924, 0.778], [0.426, 0.148, 0.572], [0.076, 0.648, 0.722], [0.146, 0.074, 0.722], [0.278, 0.852, 0.924], [0.424, 0.646, 0.072], [0.074, 0.928, 0.352], [0.576, 0.354, 0.928], [0.146, 0.072, 0.924], [0.722, 0.148, 0.076], [0.576, 0.222, 0.148], [0.928, 0.074, 0.852], [0.648, 0.572, 0.926], [0.854, 0.926, 0.278], [0.074, 0.146, 0.222], [0.076, 0.428, 0.854], [0.072, 0.926, 0.148], [0.924, 0.352, 0.278], [0.428, 0.076, 0.354], [0.572, 0.924, 0.646], [0.854, 0.928, 0.076], [0.924, 0.572, 0.146], [0.426, 0.278, 0.354], [0.354, 0.778, 0.426], [0.354, 0.576, 0.428], [0.572, 0.648, 0.426], [0.148, 0.722, 0.576], [0.875, 0.125, 0.250], [0.750, 0.875, 0.625], [0.250, 0.125, 0.375], [0.625, 0.375, 0.750], [0.875, 0.750, 0.125], [0.750, 0.375, 0.125], [0.375, 0.625, 0.250], [0.125, 0.250, 0.875], [0.125, 0.875, 0.750], [0.625, 0.250, 0.375], [0.375, 0.750, 0.625], [0.250, 0.625, 0.875]]
}

=====

{
  "formula": "Ta2TiHg",
  "functional": "PBE",
  "state": "optimized geometry",
  "vol_a3_per_atom": 18.2,
  "delta_e_f_ev_per_fu": 0.6,
  "magnetic_moment_mub_per_atom": 0.0000,
  "energy_ev_per_atom": -7.828,
  "sg": "P4/mmm",
  "lattice": [[4.505, 0.000, 0.000], [0.000, 4.021, 0.000], [0.000, 0.000, 4.021]],
  "species": ["Ti", "Ta", "Ta", "Hg"],
  "frac_coords": [[0.500, 0.000, 0.000], [0.000, 0.000, 0.500], [0.000, 0.500, 0.000], [0.500, 0.500, 0.500]]
}

=====

{
  "formula": "TaTiHg2",
  "functional": "PBE",
  "state": "optimized geometry",
  "vol_a3_per_atom": 20.7,
  "e_above_lowest_polymorph_mev_per_atom": 246,
  "delta_e_f_ev_per_fu": 2.4,
  "magnetic_moment_mub_per_atom": 0.0000,
  "energy_ev_per_atom": -4.479,
  "sg": "I-42d",
  "lattice": [[7.568, 0.000, 0.000], [0.000, 7.568, 0.000], [3.784, 3.784, 2.886]],
  "species": ["Hg", "Hg", "Hg", "Hg", "Ti", "Ti", "Ta", "Ta"],
  "frac_coords": [[0.130, 0.625, 0.250], [0.875, 0.870, 0.750], [0.375, 0.380, 0.750], [0.620, 0.125, 0.250], [0.250, 0.750, 0.500], [0.500, 0.500, 0.000], [0.750, 0.250, 0.500], [0.000, 0.000, 0.000]]
}

=====

{
  "formula": "TaTi3Hg",
  "functional": "PBE",
  "state": "optimized geometry",
  "vol_a3_per_atom": 23.3,
  "e_above_lowest_polymorph_mev_per_atom": 1455,
  "delta_e_f_ev_per_fu": 7.4,
  "magnetic_moment_mub_per_atom": 0.4411,
  "energy_ev_per_atom": -5.684,
  "sg": "Pm-3m",
  "lattice": [[-2.989, -0.442, -3.841], [-0.885, -4.648, 1.224], [-3.763, 1.444, 2.763]],
  "species": ["Ta", "Ti", "Ti", "Ti", "Hg"],
  "frac_coords": [[0.500, 0.500, 0.500], [0.000, 0.000, 0.500], [0.000, 0.500, 0.000], [0.500, 0.000, 0.000], [0.000, 0.000, 0.000]]
}

=====

{
  "formula": "TaTiHg3",
  "functional": "PBE",
  "state": "optimized geometry",
  "vol_a3_per_atom": 28.9,
  "e_above_lowest_polymorph_mev_per_atom": 0,
  "delta_e_f_ev_per_fu": 6.5,
  "magnetic_moment_mub_per_atom": 0.0000,
  "energy_ev_per_atom": -2.835,
  "sg": "Pm-3m",
  "lattice": [[5.248, 0.000, 0.000], [0.000, 5.248, 0.000], [0.000, 0.000, 5.248]],
  "species": ["Ta", "Hg", "Hg", "Hg", "Ti"],
  "frac_coords": [[0.000, 0.000, 0.000], [0.500, 0.000, 0.000], [0.000, 0.500, 0.000], [0.000, 0.000, 0.500], [0.500, 0.500, 0.500]]
}

=====

{
  "formula": "Ta3Ti2Hg",
  "functional": "PBE",
  "state": "optimized geometry",
  "vol_a3_per_atom": 18.4,
  "delta_e_f_ev_per_fu": 1.0,
  "magnetic_moment_mub_per_atom": 0.0001,
  "energy_ev_per_atom": -8.450,
  "sg": "C2/m",
  "lattice": [[2.854, 0.000, 0.000], [-1.427, 7.159, -2.398], [0.000, 0.777, 10.571]],
  "species": ["Ta", "Ta", "Ta", "Ta", "Ta", "Ta", "Ti", "Ti", "Ti", "Ti", "Hg", "Hg"],
  "frac_coords": [[0.250, 0.501, 0.625], [0.079, 0.158, 0.443], [0.596, 0.192, 0.711], [0.921, 0.842, 0.557], [0.750, 0.499, 0.375], [0.404, 0.808, 0.289], [0.425, 0.849, 0.788], [0.575, 0.151, 0.212], [0.746, 0.492, 0.120], [0.254, 0.508, 0.880], [0.087, 0.175, 0.964], [0.913, 0.825, 0.036]]
}